# 1
First-principles (GGA-PBE) data for a relaxed TiHg2F5 crystal, as listed in Alexandria via LeMat-Bulk.

Output
**Crystal system**: monoclinic

Structure (CIF):
```
data_TiHg2F5
_cell_length_a 5.282
_cell_length_b 10.424
_cell_length_c 6.381
_cell_angle_alpha 90.00
_cell_angle_beta 108.41
_cell_angle_gamma 90.00
_symmetry_space_group_name_H-M 'C 1 m 1'
_symmetry_Int_Tables_number 8
_symmetry_space_group_name_Hall 'C -2y'
loop_
_atom_site_label
_atom_site_fract_x
_atom_site_fract_y
_atom_site_fract_z
_atom_site_occupancy
Ti1 0.000 0.000 0.000 1
Hg1 0.461 0.215 0.527 1
F1 0.241 0.000 0.292 1
F2 0.256 0.500 0.710 1
F3 0.274 0.000 0.889 1
F4 0.368 0.347 0.052 1
```

=====

# 2
First-principles (GGA-PBE) data for a relaxed Ti3HgF crystal, as listed in Alexandria via LeMat-Bulk.

Output
**Crystal system**: cubic

Structure (CIF):
```
data_Ti3HgF
_cell_length_a 5.149
_cell_length_b 5.149
_cell_length_c 5.149
_cell_angle_alpha 90.00
_cell_angle_beta 90.00
_cell_angle_gamma 90.00
_symmetry_space_group_name_H-M 'P m -3 m'
_symmetry_Int_Tables_number 221
_symmetry_space_group_name_Hall '-P 4 2 3'
loop_
_atom_site_label
_atom_site_fract_x
_atom_site_fract_y
_atom_site_fract_z
_atom_site_occupancy
Ti1 0.000 0.000 0.500 1
Hg1 0.000 0.000 0.000 1
F1 0.500 0.500 0.500 1
```

=====

# 3
First-principles (GGA-PBE) data for a relaxed TiHg2F2 crystal, as listed in Alexandria via LeMat-Bulk.

Output
**Crystal system**: tetragonal

Structure (CIF):
```
data_TiHg2F2
_cell_length_a 5.683
_cell_length_b 5.683
_cell_length_c 6.343
_cell_angle_alpha 90.00
_cell_angle_beta 90.00
_cell_angle_gamma 90.00
_symmetry_space_group_name_H-M 'P 4/m b m'
_symmetry_Int_Tables_number 127
_symmetry_space_group_name_Hall '-P 4 2ab'
loop_
_atom_site_label
_atom_site_fract_x
_atom_site_fract_y
_atom_site_fract_z
_atom_site_occupancy
Ti1 0.000 0.000 0.000 1
Hg1 0.197 0.303 0.500 1
F1 0.245 0.745 0.000 1
```

=====

# 4
First-principles (GGA-PBE) data for a relaxed Ti3HgF crystal, as listed in Alexandria via LeMat-Bulk.

Output
**Crystal system**: cubic

Structure (CIF):
```
data_Ti3HgF
_cell_length_a 4.269
_cell_length_b 4.269
_cell_length_c 4.269
_cell_angle_alpha 90.00
_cell_angle_beta 90.00
_cell_angle_gamma 90.00
_symmetry_space_group_name_H-M 'P m -3 m'
_symmetry_Int_Tables_number 221
_symmetry_space_group_name_Hall '-P 4 2 3'
loop_
_atom_site_label
_atom_site_fract_x
_atom_site_fract_y
_atom_site_fract_z
_atom_site_occupancy
Ti1 0.000 0.000 0.500 1
Hg1 0.500 0.500 0.500 1
F1 0.000 0.000 0.000 1
```

=====

# 5
First-principles (GGA-PBE) data for a relaxed Ti2HgF8 crystal, as listed in Alexandria via LeMat-Bulk.

Output
**Crystal system**: monoclinic

Structure (CIF):
```
data_Ti2HgF8
_cell_length_a 11.489
_cell_length_b 6.520
_cell_length_c 5.410
_cell_angle_alpha 90.00
_cell_angle_beta 98.24
_cell_angle_gamma 90.00
_symmetry_space_group_name_H-M 'C 1 2/m 1'
_symmetry_Int_Tables_number 12
_symmetry_space_group_name_Hall '-C 2y'
loop_
_atom_site_label
_atom_site_fract_x
_atom_site_fract_y
_atom_site_fract_z
_atom_site_occupancy
Ti1 0.222 0.000 0.020 1
Hg1 0.000 0.500 0.500 1
F1 0.096 0.000 0.793 1
F2 0.164 0.311 0.067 1
F3 0.218 0.000 0.346 1
```

=====

# 6
First-principles (GGA-PBE) data for a relaxed Ti2HgF11 crystal, as listed in Alexandria via LeMat-Bulk.

Output
**Crystal system**: orthorhombic

Structure (CIF):
```
data_Ti2HgF11
_cell_length_a 8.882
_cell_length_b 8.960
_cell_length_c 10.317
_cell_angle_alpha 90.00
_cell_angle_beta 90.00
_cell_angle_gamma 90.00
_symmetry_space_group_name_H-M 'I b a m'
_symmetry_Int_Tables_number 72
_symmetry_space_group_name_Hall '-I 2 2c'
loop_
_atom_site_label
_atom_site_fract_x
_atom_site_fract_y
_atom_site_fract_z
_atom_site_occupancy
Ti1 0.159 0.156 0.000 1
Hg1 0.000 0.500 0.250 1
F1 0.000 0.000 0.000 1
F2 0.059 0.268 0.129 1
F3 0.196 0.199 0.500 1
F4 0.228 0.443 0.371 1
```

=====

Sequential uncorrected formation energy output: -2.43; 0.92; -1.53; -0.55; -2.95; -2.62 eV per atom